V2O5: optimized geometry, PBE+U.

Summary:
Final energy   -0.2741 hartree per atom
SG   Pmmn, No. 59

```
V2O5
1.0
3.626 0.000 0.000
0.000 11.572 0.000
0.000 0.000 4.695
V O
4 10
Direct
0.250 0.101 0.110 V
0.250 0.399 0.110 V
0.750 0.601 0.890 V
0.750 0.899 0.890 V
0.250 0.105 0.452 O
0.250 0.250 0.997 O
0.250 0.395 0.452 O
0.250 0.568 0.992 O
0.250 0.932 0.992 O
0.750 0.068 0.008 O
0.750 0.432 0.008 O
0.750 0.605 0.548 O
0.750 0.750 0.003 O
0.750 0.895 0.548 O
```